1.
Crystalline Be4TcTe at its relaxed geometry, computed with PBE.

Output
Fermi-level density of states   1.55 states/eV per cell
E_tot   -28.0 eV/cell
Crystal system   cubic
V   11.29 Å³ per atom
E_form (uncorrected)   0.43 eV/f.u.

Cell: 4.5751 4.5751 4.5751 Å, 60.00 60.00 60.00°
Closest atoms and distances in Å follow each position.
Sites, in units of the cell vectors:
Be 0.3783 0.8651 0.3783  6 Be 2.23-2.35
Be 0.8651 0.3783 0.3783  6 Be 2.23-2.35
Be 0.3783 0.3783 0.8651  6 Be 2.23-2.35
Be 0.3783 0.3783 0.3783  6 Be 2.23-2.35
Tc 0.7500 0.7500 0.7500  12 Be 2.68, 4 Te 2.80
Te 0.0000 0.0000 0.0000  12 Be 2.69, 4 Tc 2.80

---

2.
Crystalline Np2ScPaAs4 at its relaxed geometry, computed with PBE.

Output
Fermi-level density of states   23.37 states/eV per cell
E_tot   -67.7 eV/cell
Crystal system   monoclinic
V   23.57 Å³ per atom

Cell: 4.0571 7.0363 7.0064 Å, 109.51 90.00 90.00°
Closest atoms and distances in Å follow each position.
Sites, in units of the cell vectors:
Np 0.5000 0.0000 0.5000  6 As 2.87
Np 0.0000 0.5000 0.5000  6 As 2.92-2.94
Sc 0.0000 0.0000 0.0000  6 As 2.80-2.82
Pa 0.5000 0.5000 0.0000  6 As 2.87
As 0.5000 0.2411 0.2406  2 Sc 2.82, 1 Pa 2.87, 3 Np 2.87-2.92
As 0.5000 0.7589 0.7594  2 Sc 2.82, 1 Pa 2.87, 3 Np 2.87-2.92
As 0.0000 0.2440 0.7565  1 Sc 2.80, 2 Pa 2.87, 3 Np 2.87-2.94
As 0.0000 0.7560 0.2435  1 Sc 2.80, 2 Pa 2.87, 3 Np 2.87-2.94

---

3.
Crystalline SiGe2Pb2 at its relaxed geometry, computed with PBE.

Output
Fermi-level density of states   4.27 states/eV per cell
E_tot   -41.4 eV/cell
Crystal system   tetragonal
V   24.39 Å³ per atom
E_form (uncorrected)   1.40 eV/f.u.

Cell: 6.6528 6.6528 5.5114 Å, 90.00 90.00 90.00°
Closest atoms and distances in Å follow each position.
Sites, in units of the cell vectors:
Pb 0.1981 0.6981 0.5000  2 Ge 3.15, 4 Pb 3.40
Pb 0.6981 0.8019 0.5000  2 Ge 3.15, 4 Pb 3.40
Pb 0.8019 0.3019 0.5000  2 Ge 3.15, 4 Pb 3.40
Pb 0.3019 0.1981 0.5000  2 Ge 3.15, 4 Pb 3.40
Ge 0.3602 0.8602 0.0000  2 Si 2.57, 1 Ge 2.63
Ge 0.8602 0.6398 0.0000  2 Si 2.57, 1 Ge 2.63
Ge 0.6398 0.1398 0.0000  2 Si 2.57, 1 Ge 2.63
Ge 0.1398 0.3602 0.0000  2 Si 2.57, 1 Ge 2.63
Si 0.0000 0.0000 0.0000  4 Ge 2.57
Si 0.5000 0.5000 0.0000  4 Ge 2.57

---

4.
Crystalline Be2Ru at its relaxed geometry, computed with PBE.

Output
Fermi-level density of states   3.30 states/eV per cell
E_tot   -34.9 eV/cell
Crystal system   orthorhombic
V   10.13 Å³ per atom

Cell: 4.2539 4.2539 3.9796 Å, 90.00 90.00 122.40°
Closest atoms and distances in Å follow each position.
Sites, in units of the cell vectors:
Be 0.5036 0.8453 0.2500  5 Ru 2.31-2.51, 7 Be 2.36-2.55
Be 0.4964 0.1547 0.7500  5 Ru 2.31-2.51, 7 Be 2.36-2.55
Be 0.8453 0.5036 0.2500  5 Ru 2.31-2.51, 7 Be 2.36-2.55
Be 0.1547 0.4964 0.7500  5 Ru 2.31-2.51, 7 Be 2.36-2.55
Ru 0.2032 0.2032 0.2500  10 Be 2.31-2.51
Ru 0.7968 0.7968 0.7500  10 Be 2.31-2.51